A relaxed structure of Li3Mg7Ga. Source: Alexandria via LeMat-Bulk, functional PBE.

CIF file:
```
data_Li3Mg7Ga
_space_group_name_H-M_alt 'P 3 m 1'
_space_group_IT_number 156
_space_group_name_Hall 'P 3 -2"'
_cell_length_a 6.1265
_cell_length_b 6.1265
_cell_length_c 7.5148
_cell_angle_alpha 90.00
_cell_angle_beta 90.00
_cell_angle_gamma 120.00
loop_
_atom_site_label
_atom_site_type_symbol
_atom_site_fract_x
_atom_site_fract_y
_atom_site_fract_z
Li1 Li 0.0146 0.5073 0.0000
Mg1 Mg 0.1684 0.3368 0.3387
Mg2 Mg 0.3328 0.1664 0.6841
Mg3 Mg 0.6667 0.3333 0.3211
Ga1 Ga 0.3333 0.6667 0.6840
```

Crystal system: trigonal
Total energy (eV for the cell shown): -19.96


A relaxed structure of Li4Mg2Ga3. Source: Alexandria via LeMat-Bulk, functional PBE.

CIF file:
```
data_Li4Mg2Ga3
_space_group_name_H-M_alt 'C 1 2/m 1'
_space_group_IT_number 12
_space_group_name_Hall '-C 2y'
_cell_length_a 9.8360
_cell_length_b 4.5149
_cell_length_c 8.5136
_cell_angle_alpha 90.00
_cell_angle_beta 122.68
_cell_angle_gamma 90.00
loop_
_atom_site_label
_atom_site_type_symbol
_atom_site_fract_x
_atom_site_fract_y
_atom_site_fract_z
Li1 Li 0.0188 0.0000 0.3430
Li2 Li 0.1723 0.5000 0.8827
Mg1 Mg 0.1656 0.5000 0.2274
Ga1 Ga 0.0000 0.0000 0.0000
Ga2 Ga 0.1524 0.5000 0.5558
```

Crystal system: monoclinic
Polymorph energy (0 for the lowest one) (meV/atom): 0


A relaxed structure of LiMg7Ga2. Source: Alexandria via LeMat-Bulk, functional PBE.

CIF file:
```
data_LiMg7Ga2
_space_group_name_H-M_alt 'C m m m'
_space_group_IT_number 65
_space_group_name_Hall '-C 2 2'
_cell_length_a 8.2882
_cell_length_b 13.0278
_cell_length_c 4.9907
_cell_angle_alpha 90.00
_cell_angle_beta 90.00
_cell_angle_gamma 90.00
loop_
_atom_site_label
_atom_site_type_symbol
_atom_site_fract_x
_atom_site_fract_y
_atom_site_fract_z
Li1 Li 0.0000 0.0000 0.0000
Mg1 Mg 0.0000 0.2460 0.0000
Mg2 Mg 0.0000 0.5000 0.5000
Mg3 Mg 0.1882 0.1242 0.5000
Ga1 Ga 0.0000 0.3003 0.5000
```

Crystal system: orthorhombic
Total energy (eV for the cell shown): -35.52


A relaxed structure of Li2Mg8Ga3. Source: Alexandria via LeMat-Bulk, functional PBE.

CIF file:
```
data_Li2Mg8Ga3
_space_group_name_H-M_alt 'R -3 m'
_space_group_IT_number 166
_space_group_name_Hall '-R 3 2"'
_cell_length_a 5.7485
_cell_length_b 5.7485
_cell_length_c 30.8615
_cell_angle_alpha 90.00
_cell_angle_beta 90.00
_cell_angle_gamma 120.00
loop_
_atom_site_label
_atom_site_type_symbol
_atom_site_fract_x
_atom_site_fract_y
_atom_site_fract_z
Li1 Li 0.0000 0.0000 0.1343
Mg1 Mg 0.0000 0.0000 0.2228
Mg2 Mg 0.0011 0.5005 0.7204
Ga1 Ga 0.0000 0.0000 0.3122
Ga2 Ga 0.0000 0.0000 0.5000
```

Crystal system: trigonal
Total energy (eV for the cell shown): -74.51